Run a
# DyNbCo | OQMD | GGA-PBE | relaxed
# symmetry	F-43m
data_DyNbCo
_chemical_formula_sum 'Dy1 Nb1 Co1'
_space_group_name_H-M_alt 'P 1'
_space_group_IT_number 1
_cell_length_a 4.404
_cell_length_b 4.404
_cell_length_c 4.404
_cell_angle_alpha 60.00
_cell_angle_beta 60.00
_cell_angle_gamma 60.00
loop_
_space_group_symop_operation_xyz
'x,y,z'
loop_
_atom_site_label
_atom_site_type_symbol
_atom_site_fract_x
_atom_site_fract_y
_atom_site_fract_z
_atom_site_occupancy
Dy1 Dy 0.000 0.000 0.000 1
Nb1 Nb 0.750 0.750 0.750 1
Co1 Co 0.500 0.500 0.500 1

Run b
# DyNbCo | OQMD | GGA-PBE | relaxed
# symmetry	F-43m
data_DyNbCo
_chemical_formula_sum 'Dy1 Nb1 Co1'
_space_group_name_H-M_alt 'P 1'
_space_group_IT_number 1
_cell_length_a 4.421
_cell_length_b 4.421
_cell_length_c 4.421
_cell_angle_alpha 60.00
_cell_angle_beta 60.00
_cell_angle_gamma 60.00
loop_
_space_group_symop_operation_xyz
'x,y,z'
loop_
_atom_site_label
_atom_site_type_symbol
_atom_site_fract_x
_atom_site_fract_y
_atom_site_fract_z
_atom_site_occupancy
Dy1 Dy 0.000 0.000 0.000 1
Nb1 Nb 0.250 0.250 0.250 1
Co1 Co 0.750 0.750 0.750 1

The least stable of them is run b.

Run a
# DyPaCo | OQMD | GGA-PBE | relaxed
# symmetry	P2_1/c
data_DyPaCo
_chemical_formula_sum 'Dy4 Pa4 Co4'
_space_group_name_H-M_alt 'P 1'
_space_group_IT_number 1
_cell_length_a 5.980
_cell_length_b 6.688
_cell_length_c 6.760
_cell_angle_alpha 90.00
_cell_angle_beta 91.48
_cell_angle_gamma 90.00
loop_
_space_group_symop_operation_xyz
'x,y,z'
loop_
_atom_site_label
_atom_site_type_symbol
_atom_site_fract_x
_atom_site_fract_y
_atom_site_fract_z
_atom_site_occupancy
Dy1 Dy 0.120 0.149 0.309 1
Dy2 Dy 0.120 0.351 0.809 1
Dy3 Dy 0.880 0.649 0.191 1
Dy4 Dy 0.880 0.851 0.691 1
Pa1 Pa 0.379 0.695 0.476 1
Pa2 Pa 0.379 0.805 0.976 1
Pa3 Pa 0.621 0.195 0.024 1
Pa4 Pa 0.621 0.305 0.524 1
Co1 Co 0.395 0.003 0.672 1
Co2 Co 0.395 0.497 0.172 1
Co3 Co 0.605 0.503 0.828 1
Co4 Co 0.605 0.997 0.328 1

Run b
# DyPaCo | OQMD | GGA-PBE | relaxed
# symmetry	F-43m
data_DyPaCo
_chemical_formula_sum 'Dy1 Pa1 Co1'
_space_group_name_H-M_alt 'P 1'
_space_group_IT_number 1
_cell_length_a 4.554
_cell_length_b 4.554
_cell_length_c 4.554
_cell_angle_alpha 60.00
_cell_angle_beta 60.00
_cell_angle_gamma 60.00
loop_
_space_group_symop_operation_xyz
'x,y,z'
loop_
_atom_site_label
_atom_site_type_symbol
_atom_site_fract_x
_atom_site_fract_y
_atom_site_fract_z
_atom_site_occupancy
Dy1 Dy 0.000 0.000 0.000 1
Pa1 Pa 0.750 0.750 0.750 1
Co1 Co 0.500 0.500 0.500 1

The least stable of them is run b.

Run a
# DyCoPd | OQMD | GGA-PBE | relaxed
# symmetry	F-43m
data_DyCoPd
_chemical_formula_sum 'Dy1 Co1 Pd1'
_space_group_name_H-M_alt 'P 1'
_space_group_IT_number 1
_cell_length_a 4.431
_cell_length_b 4.431
_cell_length_c 4.431
_cell_angle_alpha 60.00
_cell_angle_beta 60.00
_cell_angle_gamma 60.00
loop_
_space_group_symop_operation_xyz
'x,y,z'
loop_
_atom_site_label
_atom_site_type_symbol
_atom_site_fract_x
_atom_site_fract_y
_atom_site_fract_z
_atom_site_occupancy
Dy1 Dy 0.000 0.000 0.000 1
Co1 Co 0.250 0.250 0.250 1
Pd1 Pd 0.750 0.750 0.750 1

Run b
# DyCoPd | OQMD | GGA-PBE | relaxed
# symmetry	F-43m
data_DyCoPd
_chemical_formula_sum 'Dy1 Co1 Pd1'
_space_group_name_H-M_alt 'P 1'
_space_group_IT_number 1
_cell_length_a 4.353
_cell_length_b 4.353
_cell_length_c 4.353
_cell_angle_alpha 60.00
_cell_angle_beta 60.00
_cell_angle_gamma 60.00
loop_
_space_group_symop_operation_xyz
'x,y,z'
loop_
_atom_site_label
_atom_site_type_symbol
_atom_site_fract_x
_atom_site_fract_y
_atom_site_fract_z
_atom_site_occupancy
Dy1 Dy 0.000 0.000 0.000 1
Co1 Co 0.250 0.250 0.250 1
Pd1 Pd 0.500 0.500 0.500 1

The least stable of them is run a.

Run a
# DyYCo | OQMD | GGA-PBE | relaxed
# symmetry	F-43m
data_DyYCo
_chemical_formula_sum 'Dy1 Y1 Co1'
_space_group_name_H-M_alt 'P 1'
_space_group_IT_number 1
_cell_length_a 4.662
_cell_length_b 4.662
_cell_length_c 4.662
_cell_angle_alpha 60.00
_cell_angle_beta 60.00
_cell_angle_gamma 60.00
loop_
_space_group_symop_operation_xyz
'x,y,z'
loop_
_atom_site_label
_atom_site_type_symbol
_atom_site_fract_x
_atom_site_fract_y
_atom_site_fract_z
_atom_site_occupancy
Dy1 Dy 0.000 0.000 0.000 1
Y1 Y 0.250 0.250 0.250 1
Co1 Co 0.750 0.750 0.750 1

Run b
# DyYCo | OQMD | GGA-PBE | relaxed
# symmetry	P4_2/mmc
data_DyYCo
_chemical_formula_sum 'Dy2 Y2 Co2'
_space_group_name_H-M_alt 'P 1'
_space_group_IT_number 1
_cell_length_a 4.768
_cell_length_b 4.768
_cell_length_c 6.821
_cell_angle_alpha 90.00
_cell_angle_beta 90.00
_cell_angle_gamma 90.00
loop_
_space_group_symop_operation_xyz
'x,y,z'
loop_
_atom_site_label
_atom_site_type_symbol
_atom_site_fract_x
_atom_site_fract_y
_atom_site_fract_z
_atom_site_occupancy
Dy1 Dy 0.000 0.000 0.000 1
Dy2 Dy 0.000 0.000 0.500 1
Y1 Y 0.500 0.500 0.250 1
Y2 Y 0.500 0.500 0.750 1
Co1 Co 0.000 0.500 0.000 1
Co2 Co 0.500 0.000 0.500 1

The least stable of them is run a.

Run a
# Gd3Er3CoTe2 | OQMD | GGA-PBE | relaxed
# symmetry	P-62m
data_Gd3Er3CoTe2
_chemical_formula_sum 'Gd3 Er3 Co1 Te2'
_space_group_name_H-M_alt 'P 1'
_space_group_IT_number 1
_cell_length_a 8.326
_cell_length_b 8.326
_cell_length_c 3.936
_cell_angle_alpha 90.00
_cell_angle_beta 90.00
_cell_angle_gamma 120.00
loop_
_space_group_symop_operation_xyz
'x,y,z'
loop_
_atom_site_label
_atom_site_type_symbol
_atom_site_fract_x
_atom_site_fract_y
_atom_site_fract_z
_atom_site_occupancy
Gd1 Gd 0.000 0.599 0.000 1
Gd2 Gd 0.401 0.401 0.000 1
Gd3 Gd 0.599 0.000 0.000 1
Er1 Er 0.000 0.233 0.500 1
Er2 Er 0.233 0.000 0.500 1
Er3 Er 0.767 0.767 0.500 1
Co1 Co 0.000 0.000 0.000 1
Te1 Te 0.333 0.667 0.500 1
Te2 Te 0.667 0.333 0.500 1

Run b
# Gd3Er3CoTe2 | OQMD | GGA-PBE | relaxed
# symmetry	P-62m
data_Gd3Er3CoTe2
_chemical_formula_sum 'Gd3 Er3 Co1 Te2'
_space_group_name_H-M_alt 'P 1'
_space_group_IT_number 1
_cell_length_a 8.403
_cell_length_b 8.403
_cell_length_c 3.893
_cell_angle_alpha 90.00
_cell_angle_beta 90.00
_cell_angle_gamma 120.00
loop_
_space_group_symop_operation_xyz
'x,y,z'
loop_
_atom_site_label
_atom_site_type_symbol
_atom_site_fract_x
_atom_site_fract_y
_atom_site_fract_z
_atom_site_occupancy
Gd1 Gd 0.000 0.238 0.000 1
Gd2 Gd 0.238 0.000 0.000 1
Gd3 Gd 0.762 0.762 0.000 1
Er1 Er 0.000 0.599 0.500 1
Er2 Er 0.401 0.401 0.500 1
Er3 Er 0.599 0.000 0.500 1
Co1 Co 0.000 0.000 0.500 1
Te1 Te 0.333 0.667 0.000 1
Te2 Te 0.667 0.333 0.000 1

The least stable of them is run b.

Run a
# Er3Hf3CoTe2 | OQMD | GGA-PBE | relaxed
# symmetry	P-62m
data_Er3Hf3CoTe2
_chemical_formula_sum 'Er3 Hf3 Co1 Te2'
_space_group_name_H-M_alt 'P 1'
_space_group_IT_number 1
_cell_length_a 8.070
_cell_length_b 8.070
_cell_length_c 3.603
_cell_angle_alpha 90.00
_cell_angle_beta 90.00
_cell_angle_gamma 120.00
loop_
_space_group_symop_operation_xyz
'x,y,z'
loop_
_atom_site_label
_atom_site_type_symbol
_atom_site_fract_x
_atom_site_fract_y
_atom_site_fract_z
_atom_site_occupancy
Er1 Er 0.000 0.756 0.000 1
Er2 Er 0.244 0.244 0.000 1
Er3 Er 0.756 0.000 0.000 1
Hf1 Hf 0.000 0.402 0.500 1
Hf2 Hf 0.402 0.000 0.500 1
Hf3 Hf 0.598 0.598 0.500 1
Co1 Co 0.000 0.000 0.500 1
Te1 Te 0.333 0.667 0.000 1
Te2 Te 0.667 0.333 0.000 1

Run b
# Er3Hf3CoTe2 | OQMD | GGA-PBE | relaxed
# symmetry	P-62m
data_Er3Hf3CoTe2
_chemical_formula_sum 'Er3 Hf3 Co1 Te2'
_space_group_name_H-M_alt 'P 1'
_space_group_IT_number 1
_cell_length_a 7.975
_cell_length_b 7.975
_cell_length_c 3.757
_cell_angle_alpha 90.00
_cell_angle_beta 90.00
_cell_angle_gamma 120.00
loop_
_space_group_symop_operation_xyz
'x,y,z'
loop_
_atom_site_label
_atom_site_type_symbol
_atom_site_fract_x
_atom_site_fract_y
_atom_site_fract_z
_atom_site_occupancy
Er1 Er 0.000 0.397 0.000 1
Er2 Er 0.397 0.000 0.000 1
Er3 Er 0.603 0.603 0.000 1
Hf1 Hf 0.000 0.773 0.500 1
Hf2 Hf 0.227 0.227 0.500 1
Hf3 Hf 0.773 0.000 0.500 1
Co1 Co 0.000 0.000 0.000 1
Te1 Te 0.333 0.667 0.500 1
Te2 Te 0.667 0.333 0.500 1

The least stable of them is run a.